No. 1
DFT (GGA-PBE) results for Ba6PdRh2I3 after structural relaxation.

```
data_Ba6PdRh2I3
_cell_length_a 8.045
_cell_length_b 13.935
_cell_length_c 8.991
_cell_angle_alpha 90.00
_cell_angle_beta 107.37
_cell_angle_gamma 90.00
_space_group_name_H-M_alt 'C 1 2/m 1'
_space_group_IT_number 12
loop_
_space_group_symop_operation_xyz
'x,y,z'
'-x,-y,-z'
'-x,y,-z'
'x,-y,z'
'x+1/2,y+1/2,z'
'-x+1/2,-y+1/2,-z'
'-x+1/2,y+1/2,-z'
'x+1/2,-y+1/2,z'
loop_
_atom_site_label
_atom_site_type_symbol
_atom_site_fract_x
_atom_site_fract_y
_atom_site_fract_z
_atom_site_occupancy
Ba1 Ba 0.221 0.000 0.199 1
Ba2 Ba 0.239 0.327 0.200 1
Pd1 Pd 0.000 0.500 0.000 1
Rh1 Rh 0.000 0.167 0.000 1
I1 I 0.000 0.000 0.500 1
I2 I 0.000 0.335 0.500 1
```

Calculated total energy ... -3.876 eV/atom
E_form (uncorrected) ... -0.870 eV per atom
DOS at the Fermi energy ... 7.25 states/eV per cell

***

No. 2
DFT (GGA-PBE) results for Ba8Pd3RhI4 after structural relaxation.

```
data_Ba8Pd3RhI4
_cell_length_a 9.3026
_cell_length_b 9.3026
_cell_length_c 26.1003
_cell_angle_alpha 90.00
_cell_angle_beta 90.00
_cell_angle_gamma 120.00
_space_group_name_H-M_alt 'R -3 m'
_space_group_IT_number 166
_space_group_name_Hall '-R 3 2"'
loop_
_atom_site_label
_atom_site_type_symbol
_atom_site_fract_x
_atom_site_fract_y
_atom_site_fract_z
_atom_site_occupancy
Ba1 Ba 0.0000 0.0000 0.2344 1
Ba2 Ba 0.0093 0.5047 0.2338 1
Pd1 Pd 0.0000 0.5000 0.5000 1
Rh1 Rh 0.0000 0.0000 0.5000 1
I1 I 0.0000 0.0000 0.0000 1
I2 I 0.0000 0.5000 0.0000 1
```

Calculated total energy ... -3.729 eV/atom
E_form (uncorrected) ... -0.947 eV per atom
DOS at the Fermi energy ... 30.22 states/eV per cell

***

No. 3
DFT (GGA-PBE) results for Ba8PdRh3I4 after structural relaxation.

```
data_Ba8PdRh3I4
_cell_length_a 9.2914
_cell_length_b 9.2914
_cell_length_c 25.6325
_cell_angle_alpha 90.00
_cell_angle_beta 90.00
_cell_angle_gamma 120.00
_space_group_name_H-M_alt 'R -3 m'
_space_group_IT_number 166
_space_group_name_Hall '-R 3 2"'
loop_
_atom_site_label
_atom_site_type_symbol
_atom_site_fract_x
_atom_site_fract_y
_atom_site_fract_z
_atom_site_occupancy
Ba1 Ba 0.0000 0.0000 0.2332 1
Ba2 Ba 0.0101 0.5050 0.7670 1
Pd1 Pd 0.0000 0.0000 0.5000 1
Rh1 Rh 0.0000 0.5000 0.5000 1
I1 I 0.0000 0.0000 0.0000 1
I2 I 0.0000 0.5000 0.0000 1
```

Calculated total energy ... -3.899 eV/atom
E_form (uncorrected) ... -0.847 eV per atom
DOS at the Fermi energy ... 11.00 states/eV per cell

***

No. 4
DFT (GGA-PBE) results for Ba8Pd3RhI3 after structural relaxation.

```
data_Ba8Pd3RhI3
_cell_length_a 16.032
_cell_length_b 9.271
_cell_length_c 10.290
_cell_angle_alpha 90.00
_cell_angle_beta 121.26
_cell_angle_gamma 90.00
_space_group_name_H-M_alt 'C 1 2/m 1'
_space_group_IT_number 12
loop_
_space_group_symop_operation_xyz
'x,y,z'
'-x,-y,-z'
'-x,y,-z'
'x,-y,z'
'x+1/2,y+1/2,z'
'-x+1/2,-y+1/2,-z'
'-x+1/2,y+1/2,-z'
'x+1/2,-y+1/2,z'
loop_
_atom_site_label
_atom_site_type_symbol
_atom_site_fract_x
_atom_site_fract_y
_atom_site_fract_z
_atom_site_occupancy
Ba1 Ba 0.014 0.240 0.302 1
Ba2 Ba 0.226 0.000 0.698 1
Ba3 Ba 0.233 0.500 0.698 1
Pd1 Pd 0.000 0.500 0.500 1
Pd2 Pd 0.250 0.250 0.500 1
Rh1 Rh 0.000 0.000 0.500 1
I1 I 0.000 0.000 0.000 1
I2 I 0.250 0.250 0.000 1
```

Calculated total energy ... -3.682 eV/atom
E_form (uncorrected) ... -0.818 eV per atom
DOS at the Fermi energy ... 21.06 states/eV per cell

***

No. 5
DFT (GGA-PBE) results for Ba8Pd3SI4 after structural relaxation.

```
data_Ba8Pd3SI4
_cell_length_a 9.3687
_cell_length_b 9.3687
_cell_length_c 25.9287
_cell_angle_alpha 90.00
_cell_angle_beta 90.00
_cell_angle_gamma 120.00
_space_group_name_H-M_alt 'R -3 m'
_space_group_IT_number 166
_space_group_name_Hall '-R 3 2"'
loop_
_atom_site_label
_atom_site_type_symbol
_atom_site_fract_x
_atom_site_fract_y
_atom_site_fract_z
_atom_site_occupancy
Ba1 Ba 0.0000 0.0000 0.2361 1
Ba2 Ba 0.0010 0.5005 0.7668 1
Pd1 Pd 0.0000 0.5000 0.5000 1
S1 S 0.0000 0.0000 0.5000 1
I1 I 0.0000 0.0000 0.0000 1
I2 I 0.0000 0.5000 0.0000 1
```

Calculated total energy ... -3.742 eV/atom
E_form (uncorrected) ... -1.162 eV per atom
DOS at the Fermi energy ... 36.88 states/eV per cell

***

No. 6
DFT (GGA-PBE) results for Ba2PdS2I2 after structural relaxation.

```
data_Ba2PdS2I2
_cell_length_a 4.838
_cell_length_b 4.838
_cell_length_c 18.950
_cell_angle_alpha 90.00
_cell_angle_beta 90.00
_cell_angle_gamma 90.00
_space_group_name_H-M_alt 'I 4/m m m'
_space_group_IT_number 139
_space_group_name_Hall '-I 4 2'
loop_
_atom_site_label
_atom_site_type_symbol
_atom_site_fract_x
_atom_site_fract_y
_atom_site_fract_z
_atom_site_occupancy
Ba1 Ba 0.000 0.000 0.113 1
Pd1 Pd 0.000 0.000 0.500 1
S1 S 0.000 0.500 0.000 1
I1 I 0.000 0.000 0.315 1
```

Calculated total energy ... -4.322 eV/atom
E_form (uncorrected) ... -1.409 eV per atom
DOS at the Fermi energy ... 10.93 states/eV per cell

***

No. 7
DFT (GGA-PBE) results for Ba6Pd2SI2 after structural relaxation.

```
data_Ba6Pd2SI2
_cell_length_a 8.249
_cell_length_b 13.981
_cell_length_c 8.865
_cell_angle_alpha 90.00
_cell_angle_beta 107.86
_cell_angle_gamma 90.00
_space_group_name_H-M_alt 'C 1 2/m 1'
_space_group_IT_number 12
loop_
_space_group_symop_operation_xyz
'x,y,z'
'-x,-y,-z'
'-x,y,-z'
'x,-y,z'
'x+1/2,y+1/2,z'
'-x+1/2,-y+1/2,-z'
'-x+1/2,y+1/2,-z'
'x+1/2,-y+1/2,z'
loop_
_atom_site_label
_atom_site_type_symbol
_atom_site_fract_x
_atom_site_fract_y
_atom_site_fract_z
_atom_site_occupancy
Ba1 Ba 0.232 0.000 0.199 1
Ba2 Ba 0.237 0.335 0.206 1
Pd1 Pd 0.000 0.170 0.000 1
S1 S 0.000 0.500 0.000 1
I1 I 0.000 0.336 0.500 1
```

Calculated total energy ... -3.693 eV/atom
E_form (uncorrected) ... -1.043 eV per atom
DOS at the Fermi energy ... 18.83 states/eV per cell

***

No. 8
DFT (GGA-PBE) results for Ba6Sb2PdI3 after structural relaxation.

```
data_Ba6Sb2PdI3
_cell_length_a 8.578
_cell_length_b 14.845
_cell_length_c 8.946
_cell_angle_alpha 90.00
_cell_angle_beta 108.78
_cell_angle_gamma 90.00
_space_group_name_H-M_alt 'C 1 2/m 1'
_space_group_IT_number 12
loop_
_space_group_symop_operation_xyz
'x,y,z'
'-x,-y,-z'
'-x,y,-z'
'x,-y,z'
'x+1/2,y+1/2,z'
'-x+1/2,-y+1/2,-z'
'-x+1/2,y+1/2,-z'
'x+1/2,-y+1/2,z'
loop_
_atom_site_label
_atom_site_type_symbol
_atom_site_fract_x
_atom_site_fract_y
_atom_site_fract_z
_atom_site_occupancy
Ba1 Ba 0.232 0.161 0.214 1
Ba2 Ba 0.249 0.000 0.783 1
Sb1 Sb 0.000 0.334 0.000 1
Pd1 Pd 0.000 0.000 0.000 1
I1 I 0.000 0.173 0.500 1
I2 I 0.000 0.500 0.500 1
```

Calculated total energy ... -3.699 eV/atom
E_form (uncorrected) ... -1.231 eV per atom
DOS at the Fermi energy ... 11.21 states/eV per cell